# Y2CoIr

A relaxed Y2CoIr crystal (PBE, Alexandria via LeMat-Bulk).

Structure (POSCAR):
```
Y2CoIr
1.0
-2.525 2.921 0.219
-1.469 -1.013 -3.431
-3.769 -3.457 2.635
Co Ir Y
1 1 2
direct
0.000 0.000 0.445
0.500 0.500 0.807
0.000 0.000 0.928
0.500 0.500 0.319
```

V = 21.51 Å³/atom
Raw total energy = -7.34 eV/atom
Symmetry = No. 99
ΔH_f (0 K) = -0.12 eV per atom
D(E_F) = 0.8193 states/eV/atom


# YCo2Ir

A relaxed YCo2Ir crystal (PBE, Alexandria via LeMat-Bulk).

Structure (POSCAR):
```
YCo2Ir
1.0
4.492 0.000 0.000
2.246 3.890 0.000
2.246 1.297 3.668
Co Ir Y
2 1 1
direct
0.000 0.000 0.000
0.750 0.750 0.750
0.500 0.500 0.500
0.250 0.250 0.250
```

Offset from the most stable computed form = 313 meV/atom
V = 16.02 Å³/atom
Raw total energy = -7.29 eV/atom
Symmetry = No. 216
ΔH_f (0 K) = 0.10 eV per atom
D(E_F) = 1.8068 states/eV/atom


# YCo2Ir

A relaxed YCo2Ir crystal (PBE, Alexandria via LeMat-Bulk).

Structure (POSCAR):
```
YCo2Ir
1.0
-0.591 3.825 1.550
-1.629 0.478 3.808
3.522 1.348 3.619
Co Ir Y
2 1 1
direct
0.059 0.059 0.824
0.441 0.441 0.676
0.750 0.750 0.750
0.250 0.250 0.250
```

Offset from the most stable computed form = 0 meV/atom
V = 17.46 Å³/atom
Raw total energy = -7.60 eV/atom
Symmetry = No. 166
ΔH_f (0 K) = -0.22 eV per atom
D(E_F) = 1.0823 states/eV/atom


# Y2CoIr

A relaxed Y2CoIr crystal (PBE, Alexandria via LeMat-Bulk).

Structure (POSCAR):
```
Y2CoIr
1.0
4.898 -1.538 -3.066
-1.081 5.018 3.066
-3.302 -0.212 4.980
Y Co Ir
2 1 1
direct
0.000 0.241 0.241
0.000 0.759 0.759
0.000 0.000 0.000
0.000 0.500 0.500
```

V = 20.34 Å³/atom
Raw total energy = -6.48 eV/atom
Symmetry = No. 71
ΔH_f (0 K) = 0.75 eV per atom
D(E_F) = 1.4557 states/eV/atom


# Y2CoIr

A relaxed Y2CoIr crystal (PBE, Alexandria via LeMat-Bulk).

Structure (POSCAR):
```
Y2CoIr
1.0
-0.737 -0.429 3.229
3.224 -0.566 0.661
1.089 7.684 1.269
Co Ir Y
1 1 2
direct
0.000 0.000 0.559
0.500 0.500 0.692
0.000 0.000 0.926
0.500 0.500 0.323
```

V = 21.93 Å³/atom
Raw total energy = -7.29 eV/atom
Symmetry = No. 99
ΔH_f (0 K) = -0.06 eV per atom
D(E_F) = 1.3895 states/eV/atom


# YCo2Ir

A relaxed YCo2Ir crystal (PBE, Alexandria via LeMat-Bulk).

Structure (POSCAR):
```
YCo2Ir
1.0
-0.821 0.512 -4.016
2.604 -3.071 -0.924
-5.677 -7.033 -1.860
Y Ir Co
2 2 4
direct
0.500 0.500 0.000
0.250 0.750 0.500
0.000 0.000 0.000
0.750 0.250 0.500
0.775 0.125 0.250
0.975 0.625 0.250
0.375 0.225 0.750
0.875 0.025 0.750
```

Offset from the most stable computed form = 384 meV/atom
V = 18.68 Å³/atom
Raw total energy = -7.22 eV/atom
Symmetry = No. 122
ΔH_f (0 K) = 0.17 eV per atom
D(E_F) = 1.6986 states/eV/atom